Entry 1:
{"formula": "Mg2ZrTa", "functional": "SCAN", "state": "PBEsol geometry", "lattice": [[1.879, -2.256, 0.000], [1.879, 2.256, 0.000], [0.000, 0.000, 9.670]], "species": ["Mg", "Mg", "Zr", "Ta"], "fractional_positions": [[0.000, 0.000, 0.000], [0.500, 0.500, 0.260], [0.000, 0.000, 0.528], [0.500, 0.500, 0.758]], "relative_energy_mev_per_atom": 0, "spacegroup": "Cmm2", "magmom_total_mub_per_fu": 0.44, "formation_enthalpy_0k_ev_per_atom": 0.10}



Entry 2:
{"formula": "BaCr2CoAu", "functional": "SCAN", "state": "PBEsol geometry", "lattice": [[4.998, 0.000, 0.000], [0.000, 4.998, 0.000], [0.000, 0.000, 4.593]], "species": ["Ba", "Cr", "Cr", "Co", "Au"], "fractional_positions": [[0.000, 0.000, 0.000], [0.000, 0.500, 0.000], [0.500, 0.000, 0.000], [0.000, 0.000, 0.500], [0.500, 0.500, 0.500]], "spacegroup": "P4/mmm", "magmom_total_mub_per_fu": 9.63, "formation_enthalpy_0k_ev_per_atom": 2.12}



Entry 3:
{"formula": "ScAlZn2", "functional": "SCAN", "state": "PBEsol geometry", "lattice": [[4.101, 0.000, 0.000], [0.000, 4.101, 0.000], [0.000, 0.000, 3.855]], "species": ["Sc", "Al", "Zn", "Zn"], "fractional_positions": [[0.000, 0.000, 0.000], [0.500, 0.500, 0.000], [0.000, 0.500, 0.500], [0.500, 0.000, 0.500]], "spacegroup": "P4/mmm", "magmom_total_mub_per_fu": 0.00, "formation_enthalpy_0k_ev_per_atom": -0.39}



Entry 4:
{"formula": "MnAlPt2", "functional": "SCAN", "state": "PBEsol geometry", "lattice": [[2.809, 0.000, 0.000], [0.000, 4.443, 0.000], [0.000, 0.000, 4.552]], "species": ["Mn", "Al", "Pt", "Pt"], "fractional_positions": [[0.000, 0.000, 0.000], [0.000, 0.500, 0.410], [0.500, 0.000, 0.501], [0.500, 0.500, 0.910]], "spacegroup": "Pmm2", "magmom_total_mub_per_fu": 4.32, "formation_enthalpy_0k_ev_per_atom": -1.00}



Q: Which formula does entry 3 have?
A: ScAlZn2